No. 1
Below is a relaxed PuScSn crystal, with properties calculated at the PBE level.

Structure (POSCAR):
```
PuScSn
1.0
3.431 0.000 0.000
0.000 4.141 0.000
0.000 2.071 9.827
Sn Pu Sc
2 2 2
direct
0.250 0.132 0.737 Sn
0.750 0.868 0.263 Sn
0.250 0.462 0.077 Pu
0.750 0.538 0.923 Pu
0.750 0.704 0.593 Sc
0.250 0.296 0.407 Sc
```

Values from the calculation:
offset from the most stable computed form	0.312	eV per atom

=====

No. 2
Below is a relaxed Tb9Sm11Dy4 crystal, with properties calculated at the PBE level.

Structure (POSCAR):
```
Tb9Sm11Dy4
1.0
-0.120 1.438 3.364
5.892 -12.954 5.746
10.724 10.228 -3.990
Tb Sm Dy
9 11 4
direct
0.500 0.631 0.165 Tb
0.500 0.369 0.835 Tb
0.500 0.165 0.631 Tb
0.500 0.835 0.369 Tb
0.500 0.786 0.933 Tb
0.500 0.214 0.067 Tb
0.500 0.933 0.786 Tb
0.500 0.067 0.214 Tb
0.500 0.500 0.500 Tb
0.000 0.594 0.957 Sm
0.000 0.406 0.043 Sm
0.000 0.957 0.594 Sm
0.000 0.043 0.406 Sm
0.000 0.632 0.368 Sm
0.000 0.368 0.632 Sm
0.000 0.840 0.160 Sm
0.000 0.160 0.840 Sm
0.000 0.000 0.000 Sm
0.000 0.708 0.708 Sm
0.000 0.292 0.292 Sm
0.500 0.555 0.758 Dy
0.500 0.445 0.242 Dy
0.500 0.758 0.555 Dy
0.500 0.242 0.445 Dy
```

=====

What energy of formation from the pure elements values result from the calculations? In sequence: -0.167; 0.055 eV/atom.